Record 1
First-principles (PBE-GGA) data for a geometry-optimized LaInCo2 structure, as listed in the Alexandria database.

Lattice parameters (Å, degrees): 3.376 4.113 5.405 90.00 90.00 90.00
Space group Pmm2 (No. 25)
Inequivalent atoms, fractional coordinates:
La1 0.000 0.000 0.000 [1 per cell]
In1 0.500 0.500 0.617 [1 per cell]
Co1 0.000 0.000 0.457 [1 per cell]
Co2 0.500 0.500 0.143 [1 per cell]

Calculated values
DOS at the Fermi energy: 1.31 states/eV/atom
Energy relative to the elements: 0.226 eV/atom
E_tot: -5.244 eV/atom

***

Record 2
First-principles (PBE-GGA) data for a geometry-optimized LiLaIn2Co structure, as listed in the Alexandria database.

Lattice parameters (Å, degrees): 5.090 5.090 4.964 90.00 90.00 90.00
Space group P4/mmm (No. 123)
Inequivalent atoms, fractional coordinates:
Li1 0.000 0.000 0.000 [1 per cell]
La1 0.500 0.500 0.000 [1 per cell]
In1 0.000 0.500 0.500 [2 per cell]
Co1 0.500 0.500 0.500 [1 per cell]

Calculated values
DOS at the Fermi energy: 0.56 states/eV/atom
Energy relative to the elements: -0.221 eV/atom
E_tot: -4.106 eV/atom

***

Record 3
First-principles (PBE-GGA) data for a geometry-optimized LiLaInCo structure, as listed in the Alexandria database.

Lattice parameters (Å, degrees): 6.814 6.814 6.814 90.00 90.00 90.00
Space group F-43m (No. 216)
Inequivalent atoms, fractional coordinates:
Li1 0.000 0.000 0.000 [4 per cell]
La1 0.250 0.250 0.750 [4 per cell]
In1 0.250 0.250 0.250 [4 per cell]
Co1 0.000 0.000 0.500 [4 per cell]

Calculated values
DOS at the Fermi energy: 1.30 states/eV/atom
Energy relative to the elements: -0.129 eV/atom
E_tot: -4.301 eV/atom

***

Record 4
First-principles (PBE-GGA) data for a geometry-optimized La2MgInCo structure, as listed in the Alexandria database.

Lattice parameters (Å, degrees): 5.256 5.256 5.103 90.00 90.00 90.00
Space group P4/mmm (No. 123)
Inequivalent atoms, fractional coordinates:
La1 0.000 0.500 0.000 [2 per cell]
Mg1 0.000 0.000 0.500 [1 per cell]
In1 0.500 0.500 0.500 [1 per cell]
Co1 0.500 0.500 0.000 [1 per cell]

Calculated values
DOS at the Fermi energy: 1.06 states/eV/atom
Energy relative to the elements: -0.220 eV/atom
E_tot: -4.479 eV/atom

***

Record 5
First-principles (PBE-GGA) data for a geometry-optimized LaMg2InCo structure, as listed in the Alexandria database.

Lattice parameters (Å, degrees): 5.057 5.057 4.926 90.00 90.00 90.00
Space group P4/mmm (No. 123)
Inequivalent atoms, fractional coordinates:
La1 0.000 0.000 0.000 [1 per cell]
Mg1 0.000 0.500 0.500 [2 per cell]
In1 0.500 0.500 0.000 [1 per cell]
Co1 0.000 0.000 0.500 [1 per cell]

Calculated values
DOS at the Fermi energy: 1.05 states/eV/atom
Energy relative to the elements: -0.079 eV/atom
E_tot: -3.671 eV/atom

***

Record 6
First-principles (PBE-GGA) data for a geometry-optimized La2MgInCo structure, as listed in the Alexandria database.

Lattice parameters (Å, degrees): 5.211 5.211 5.079 90.00 90.00 90.00
Space group P4/mmm (No. 123)
Inequivalent atoms, fractional coordinates:
La1 0.000 0.500 0.000 [2 per cell]
Mg1 0.000 0.000 0.500 [1 per cell]
In1 0.500 0.500 0.500 [1 per cell]
Co1 0.000 0.000 0.000 [1 per cell]

Calculated values
DOS at the Fermi energy: 0.94 states/eV/atom
Energy relative to the elements: -0.248 eV/atom
E_tot: -4.507 eV/atom

***

Theoretical density for every record listed, in sequence, given in Mg/m³: 8.2, 5.6, 6.7, 5.6, 4.8, 5.7.